# 1
The following is a PBE-GGA calculation of a relaxed structure of SiTe2, from the Alexandria database. Values from VASP.

Geometry as Quantum ESPRESSO input:
```
&SYSTEM
  ibrav = 0, nat = 6, ntyp = 2
/
ATOMIC_SPECIES
Si 28.09 Si.upf
Te 127.60 Te.upf
CELL_PARAMETERS angstrom
1.966 -3.405 0.000
1.966 3.405 0.000
0.000 0.000 11.941
ATOMIC_POSITIONS angstrom
Si 0.000 0.000 2.985
Si 0.000 0.000 8.956
Te 1.966 -1.135 4.741
Te 1.966 1.135 10.711
Te 1.966 1.135 7.201
Te 1.966 -1.135 1.230
```

Values from the calculation:
E_tot ... -21.90 eV per cell
Energy relative to the elements, uncorrected ... 0.25 eV/atom



# 2
The following is a PBE-GGA calculation of a relaxed structure of CrGeS2, from the Alexandria database. Values from VASP.

Geometry as Quantum ESPRESSO input:
```
&SYSTEM
  ibrav = 0, nat = 4, ntyp = 3
/
ATOMIC_SPECIES
Cr 52.00 Cr.upf
Ge 72.64 Ge.upf
S 32.06 S.upf
CELL_PARAMETERS angstrom
0.711 -0.928 8.407
3.188 0.834 7.822
0.410 2.146 8.201
ATOMIC_POSITIONS angstrom
Cr 2.155 1.026 12.215
Ge 0.000 0.000 0.000
S 3.843 1.830 21.788
S 0.466 0.222 2.641
```

Values from the calculation:
E_tot ... -23.53 eV per cell
Energy relative to the elements, uncorrected ... -0.26 eV/atom



# 3
The following is a PBE-GGA calculation of a relaxed structure of Th2Al2Tc2C, from the Alexandria database. Values from VASP.

Geometry as Quantum ESPRESSO input:
```
&SYSTEM
  ibrav = 0, nat = 7, ntyp = 4
/
ATOMIC_SPECIES
Th 232.04 Th.upf
Al 26.98 Al.upf
Tc 98.00 Tc.upf
C 12.01 C.upf
CELL_PARAMETERS angstrom
4.103 0.001 0.000
2.053 5.710 0.692
0.001 2.239 6.029
ATOMIC_POSITIONS angstrom
Th 4.106 7.167 5.283
Th 2.051 0.783 1.439
Al 4.104 3.232 2.703
Al 2.053 4.718 4.018
Tc 4.105 4.090 5.445
Tc 2.052 3.861 1.276
C 0.000 0.000 0.000
```

Values from the calculation:
Formation energy ... -0.167 eV/atom
E_tot ... -53.45 eV per cell



# 4
The following is a PBE-GGA calculation of a relaxed structure of POsW2, from the Alexandria database. Values from VASP.

Geometry as Quantum ESPRESSO input:
```
&SYSTEM
  ibrav = 0, nat = 4, ntyp = 3
/
ATOMIC_SPECIES
P 30.97 P.upf
Os 190.23 Os.upf
W 183.84 W.upf
CELL_PARAMETERS angstrom
2.907 0.000 0.000
0.000 3.978 0.000
0.000 0.000 5.191
ATOMIC_POSITIONS angstrom
P 1.454 1.989 3.972
Os 0.000 0.000 2.531
W 0.000 0.000 5.030
W 1.454 1.989 1.445
```

Values from the calculation:
Formation energy ... 0.252 eV/atom
E_tot ... -41.54 eV per cell



# 5
The following is a PBE-GGA calculation of a relaxed structure of VCrPt3, from the Alexandria database. Values from VASP.

Geometry as Quantum ESPRESSO input:
```
&SYSTEM
  ibrav = 0, nat = 10, ntyp = 3
/
ATOMIC_SPECIES
V 50.94 V.upf
Cr 52.00 Cr.upf
Pt 195.08 Pt.upf
CELL_PARAMETERS angstrom
-2.423 -4.002 0.465
2.972 -3.461 1.139
-2.190 -0.618 7.003
ATOMIC_POSITIONS angstrom
V 0.414 -6.339 1.465
V -1.646 -3.802 4.849
Cr 0.144 -2.615 0.626
Cr 1.047 -3.524 5.222
Pt -0.258 -2.052 3.391
Pt -3.058 -5.520 6.477
Pt 0.017 -5.782 4.192
Pt -1.249 -4.360 2.121
Pt 1.449 -4.088 2.458
Pt -0.365 -5.240 6.840
```

Values from the calculation:
Formation energy ... -0.393 eV/atom
E_tot ... -77.66 eV per cell
Energy above the lowest structure with this stoichiometry ... 0 meV per atom



# 6
The following is a PBE-GGA calculation of a relaxed structure of Ce2TmPbC, from the Alexandria database. Values from VASP.

Geometry as Quantum ESPRESSO input:
```
&SYSTEM
  ibrav = 0, nat = 5, ntyp = 4
/
ATOMIC_SPECIES
Ce 140.12 Ce.upf
Tm 168.93 Tm.upf
Pb 207.20 Pb.upf
C 12.01 C.upf
CELL_PARAMETERS angstrom
4.903 0.000 0.000
0.000 4.990 0.000
0.000 0.000 4.990
ATOMIC_POSITIONS angstrom
Ce 0.000 0.000 2.495
Ce 0.000 2.495 0.000
Tm 2.451 0.000 0.000
Pb 2.451 2.495 2.495
C 0.000 0.000 0.000
```

Values from the calculation:
Formation energy ... -0.411 eV/atom
E_tot ... -31.32 eV per cell



The highest E_tot belongs to which entry? SiTe2



Number 6 is which compound? Ce2TmPbC



Copy entry 4 word for word.
The following is a PBE-GGA calculation of a relaxed structure of POsW2, from the Alexandria database. Values from VASP.

Geometry as Quantum ESPRESSO input:
```
&SYSTEM
  ibrav = 0, nat = 4, ntyp = 3
/
ATOMIC_SPECIES
P 30.97 P.upf
Os 190.23 Os.upf
W 183.84 W.upf
CELL_PARAMETERS angstrom
2.907 0.000 0.000
0.000 3.978 0.000
0.000 0.000 5.191
ATOMIC_POSITIONS angstrom
P 1.454 1.989 3.972
Os 0.000 0.000 2.531
W 0.000 0.000 5.030
W 1.454 1.989 1.445
```

Values from the calculation:
Formation energy ... 0.252 eV/atom
E_tot ... -41.54 eV per cell